Record 1
Entry from Alexandria via LeMat-Bulk: a relaxed La2CeZn6 crystal (PBE-GGA).

- space-group type = No. 191
- DOS at the Fermi energy (states/eV/cell) = 12.61
- uncorrected energy (eV for the cell shown) = -26.3
- ρ (Mg/m³) = 6.73

abc: 8.0405 8.0405 3.5709
angles: 90.00 90.00 120.00
Last column: magnetic moment on the atom in μB.
Positions (direct):
La (0.3333, 0.6667, 0.0000)  0.07
La (0.6667, 0.3333, 0.0000)  0.07
Ce (0.0000, 0.0000, 0.0000)  0.79
Zn (0.6696, 0.0000, 0.5000)  0.01
Zn (0.0000, 0.6696, 0.5000)  0.01
Zn (0.3304, 0.0000, 0.5000)  0.01
Zn (0.6696, 0.6696, 0.5000)  0.01
Zn (0.0000, 0.3304, 0.5000)  0.01
Zn (0.3304, 0.3304, 0.5000)  0.01



Record 2
Entry from Alexandria via LeMat-Bulk: a relaxed TaCr2CoNi crystal (PBE-GGA).

- space-group type = No. 123
- DOS at the Fermi energy (states/eV/cell) = 7.64
- uncorrected energy (eV for the cell shown) = -38.3
- ρ (Mg/m³) = 8.57

abc: 4.1279 4.5771 4.1279
angles: 90.00 90.00 90.00
Positions (direct):
Ni (0.5000, 0.5000, 0.5000)
Co (0.0000, 0.0000, 0.0000)
Cr (0.0000, 0.0000, 0.5000)
Cr (0.5000, 0.0000, 0.0000)
Ta (0.0000, 0.5000, 0.0000)